Version a
Pm3Pr2Rh4: relaxed, PBE-GGA.

```
data_Pm3Pr2Rh4
_chemical_formula_sum 'Pm6 Pr4 Rh8'
_cell_length_a 9.456
_cell_length_b 9.456
_cell_length_c 7.520
_cell_angle_alpha 90.00
_cell_angle_beta 90.00
_cell_angle_gamma 139.31
_space_group_name_H-M_alt 'P 1'
_space_group_IT_number 1
loop_
_space_group_symop_operation_xyz
'x,y,z'
loop_
_atom_site_label
_atom_site_type_symbol
_atom_site_fract_x
_atom_site_fract_y
_atom_site_fract_z
_atom_site_occupancy
Pm1 Pm 0.000 0.000 0.000 1
Pm2 Pm 0.020 0.480 0.250 1
Pm3 Pm 0.480 0.020 0.750 1
Pm4 Pm 0.500 0.500 0.500 1
Pm5 Pm 0.520 0.980 0.250 1
Pm6 Pm 0.980 0.520 0.750 1
Pr1 Pr 0.096 0.904 0.414 1
Pr2 Pr 0.404 0.596 0.914 1
Pr3 Pr 0.596 0.404 0.086 1
Pr4 Pr 0.904 0.096 0.586 1
Rh1 Rh 0.165 0.835 0.045 1
Rh2 Rh 0.181 0.319 0.250 1
Rh3 Rh 0.319 0.181 0.750 1
Rh4 Rh 0.335 0.665 0.545 1
Rh5 Rh 0.665 0.335 0.455 1
Rh6 Rh 0.681 0.819 0.250 1
Rh7 Rh 0.819 0.681 0.750 1
Rh8 Rh 0.835 0.165 0.955 1
```


Version b
Pm3Pr2Rh4: relaxed, PBE-GGA.

```
data_Pm3Pr2Rh4
_chemical_formula_sum 'Pm6 Pr4 Rh8'
_cell_length_a 7.808
_cell_length_b 7.772
_cell_length_c 7.579
_cell_angle_alpha 90.00
_cell_angle_beta 108.66
_cell_angle_gamma 90.00
_space_group_name_H-M_alt 'P 1'
_space_group_IT_number 1
loop_
_space_group_symop_operation_xyz
'x,y,z'
loop_
_atom_site_label
_atom_site_type_symbol
_atom_site_fract_x
_atom_site_fract_y
_atom_site_fract_z
_atom_site_occupancy
Pm1 Pm 0.000 0.000 0.000 1
Pm2 Pm 0.000 0.500 0.500 1
Pm3 Pm 0.259 0.169 0.753 1
Pm4 Pm 0.259 0.331 0.253 1
Pm5 Pm 0.741 0.669 0.747 1
Pm6 Pm 0.741 0.831 0.247 1
Pr1 Pr 0.306 0.680 0.921 1
Pr2 Pr 0.306 0.820 0.421 1
Pr3 Pr 0.694 0.180 0.579 1
Pr4 Pr 0.694 0.320 0.079 1
Rh1 Rh 0.011 0.632 0.129 1
Rh2 Rh 0.011 0.868 0.629 1
Rh3 Rh 0.415 0.034 0.144 1
Rh4 Rh 0.415 0.466 0.644 1
Rh5 Rh 0.585 0.534 0.356 1
Rh6 Rh 0.585 0.966 0.856 1
Rh7 Rh 0.989 0.132 0.371 1
Rh8 Rh 0.989 0.368 0.871 1
```


Stability, highest: version b


Version a
PmPr3Rh3: relaxed, PBE-GGA.

```
data_PmPr3Rh3
_chemical_formula_sum 'Pm2 Pr6 Rh6'
_cell_length_a 6.812
_cell_length_b 7.305
_cell_length_c 7.465
_cell_angle_alpha 89.92
_cell_angle_beta 79.94
_cell_angle_gamma 87.47
_space_group_name_H-M_alt 'P 1'
_space_group_IT_number 1
loop_
_space_group_symop_operation_xyz
'x,y,z'
loop_
_atom_site_label
_atom_site_type_symbol
_atom_site_fract_x
_atom_site_fract_y
_atom_site_fract_z
_atom_site_occupancy
Pm1 Pm 0.209 0.146 0.214 1
Pm2 Pm 0.791 0.854 0.786 1
Pr1 Pr 0.200 0.656 0.365 1
Pr2 Pr 0.283 0.503 0.847 1
Pr3 Pr 0.304 0.018 0.716 1
Pr4 Pr 0.696 0.982 0.284 1
Pr5 Pr 0.717 0.497 0.153 1
Pr6 Pr 0.800 0.344 0.635 1
Rh1 Rh 0.034 0.803 0.054 1
Rh2 Rh 0.442 0.314 0.454 1
Rh3 Rh 0.446 0.807 0.056 1
Rh4 Rh 0.554 0.193 0.944 1
Rh5 Rh 0.558 0.686 0.546 1
Rh6 Rh 0.966 0.197 0.946 1
```


Version b
PmPr3Rh3: relaxed, PBE-GGA.

```
data_PmPr3Rh3
_chemical_formula_sum 'Pm4 Pr12 Rh12'
_cell_length_a 12.213
_cell_length_b 4.213
_cell_length_c 14.046
_cell_angle_alpha 90.00
_cell_angle_beta 90.00
_cell_angle_gamma 90.00
_space_group_name_H-M_alt 'P 1'
_space_group_IT_number 1
loop_
_space_group_symop_operation_xyz
'x,y,z'
loop_
_atom_site_label
_atom_site_type_symbol
_atom_site_fract_x
_atom_site_fract_y
_atom_site_fract_z
_atom_site_occupancy
Pm1 Pm 0.022 0.250 0.186 1
Pm2 Pm 0.478 0.750 0.686 1
Pm3 Pm 0.522 0.250 0.314 1
Pm4 Pm 0.978 0.750 0.814 1
Pr1 Pr 0.048 0.250 0.599 1
Pr2 Pr 0.185 0.750 0.022 1
Pr3 Pr 0.249 0.250 0.805 1
Pr4 Pr 0.251 0.750 0.305 1
Pr5 Pr 0.315 0.250 0.522 1
Pr6 Pr 0.452 0.750 0.099 1
Pr7 Pr 0.548 0.250 0.901 1
Pr8 Pr 0.685 0.750 0.478 1
Pr9 Pr 0.749 0.250 0.695 1
Pr10 Pr 0.751 0.750 0.195 1
Pr11 Pr 0.815 0.250 0.978 1
Pr12 Pr 0.952 0.750 0.401 1
Rh1 Rh 0.052 0.250 0.936 1
Rh2 Rh 0.112 0.250 0.387 1
Rh3 Rh 0.224 0.750 0.661 1
Rh4 Rh 0.276 0.250 0.161 1
Rh5 Rh 0.388 0.750 0.887 1
Rh6 Rh 0.448 0.750 0.436 1
Rh7 Rh 0.552 0.250 0.564 1
Rh8 Rh 0.612 0.250 0.113 1
Rh9 Rh 0.724 0.750 0.839 1
Rh10 Rh 0.776 0.250 0.339 1
Rh11 Rh 0.888 0.750 0.613 1
Rh12 Rh 0.948 0.750 0.064 1
```


Stability, highest: version b


Version a
PmPr2Rh2: relaxed, PBE-GGA.

```
data_PmPr2Rh2
_chemical_formula_sum 'Pm2 Pr4 Rh4'
_cell_length_a 9.091
_cell_length_b 9.091
_cell_length_c 7.538
_cell_angle_alpha 90.00
_cell_angle_beta 90.00
_cell_angle_gamma 154.32
_space_group_name_H-M_alt 'P 1'
_space_group_IT_number 1
loop_
_space_group_symop_operation_xyz
'x,y,z'
loop_
_atom_site_label
_atom_site_type_symbol
_atom_site_fract_x
_atom_site_fract_y
_atom_site_fract_z
_atom_site_occupancy
Pm1 Pm 0.120 0.880 0.500 1
Pm2 Pm 0.880 0.120 0.000 1
Pr1 Pr 0.309 0.691 0.387 1
Pr2 Pr 0.468 0.532 0.662 1
Pr3 Pr 0.532 0.468 0.162 1
Pr4 Pr 0.691 0.309 0.887 1
Rh1 Rh 0.053 0.947 0.859 1
Rh2 Rh 0.309 0.691 0.796 1
Rh3 Rh 0.691 0.309 0.296 1
Rh4 Rh 0.947 0.053 0.359 1
```


Version b
PmPr2Rh2: relaxed, PBE-GGA.

```
data_PmPr2Rh2
_chemical_formula_sum 'Pm1 Pr2 Rh2'
_cell_length_a 6.038
_cell_length_b 6.038
_cell_length_c 6.742
_cell_angle_alpha 117.34
_cell_angle_beta 117.34
_cell_angle_gamma 38.62
_space_group_name_H-M_alt 'P 1'
_space_group_IT_number 1
loop_
_space_group_symop_operation_xyz
'x,y,z'
loop_
_atom_site_label
_atom_site_type_symbol
_atom_site_fract_x
_atom_site_fract_y
_atom_site_fract_z
_atom_site_occupancy
Pm1 Pm 0.000 0.000 0.000 1
Pr1 Pr 0.186 0.186 0.673 1
Pr2 Pr 0.814 0.814 0.327 1
Rh1 Rh 0.464 0.464 0.674 1
Rh2 Rh 0.536 0.536 0.326 1
```


Stability, highest: version b


Version a
Pm3PrRh3: relaxed, PBE-GGA.

```
data_Pm3PrRh3
_chemical_formula_sum 'Pm6 Pr2 Rh6'
_cell_length_a 7.539
_cell_length_b 7.539
_cell_length_c 7.539
_cell_angle_alpha 70.94
_cell_angle_beta 70.94
_cell_angle_gamma 70.94
_space_group_name_H-M_alt 'P 1'
_space_group_IT_number 1
loop_
_space_group_symop_operation_xyz
'x,y,z'
loop_
_atom_site_label
_atom_site_type_symbol
_atom_site_fract_x
_atom_site_fract_y
_atom_site_fract_z
_atom_site_occupancy
Pm1 Pm 0.117 0.358 0.825 1
Pm2 Pm 0.175 0.883 0.642 1
Pm3 Pm 0.358 0.825 0.117 1
Pm4 Pm 0.642 0.175 0.883 1
Pm5 Pm 0.825 0.117 0.358 1
Pm6 Pm 0.883 0.642 0.175 1
Pr1 Pr 0.325 0.325 0.325 1
Pr2 Pr 0.675 0.675 0.675 1
Rh1 Rh 0.058 0.696 0.439 1
Rh2 Rh 0.304 0.561 0.942 1
Rh3 Rh 0.439 0.058 0.696 1
Rh4 Rh 0.561 0.942 0.304 1
Rh5 Rh 0.696 0.439 0.058 1
Rh6 Rh 0.942 0.304 0.561 1
```


Version b
Pm3PrRh3: relaxed, PBE-GGA.

```
data_Pm3PrRh3
_chemical_formula_sum 'Pm6 Pr2 Rh6'
_cell_length_a 7.062
_cell_length_b 7.062
_cell_length_c 7.162
_cell_angle_alpha 90.41
_cell_angle_beta 90.41
_cell_angle_gamma 97.21
_space_group_name_H-M_alt 'P 1'
_space_group_IT_number 1
loop_
_space_group_symop_operation_xyz
'x,y,z'
loop_
_atom_site_label
_atom_site_type_symbol
_atom_site_fract_x
_atom_site_fract_y
_atom_site_fract_z
_atom_site_occupancy
Pm1 Pm 0.181 0.819 0.000 1
Pm2 Pm 0.244 0.756 0.500 1
Pm3 Pm 0.328 0.328 0.126 1
Pm4 Pm 0.672 0.672 0.874 1
Pm5 Pm 0.756 0.244 0.500 1
Pm6 Pm 0.819 0.181 0.000 1
Pr1 Pr 0.255 0.255 0.627 1
Pr2 Pr 0.745 0.745 0.373 1
Rh1 Rh 0.001 0.496 0.229 1
Rh2 Rh 0.061 0.061 0.301 1
Rh3 Rh 0.496 0.001 0.229 1
Rh4 Rh 0.504 0.999 0.771 1
Rh5 Rh 0.939 0.939 0.699 1
Rh6 Rh 0.999 0.504 0.771 1
```


Stability, highest: version a


Version a
PmPrRh2: relaxed, PBE-GGA.

```
data_PmPrRh2
_chemical_formula_sum 'Pm1 Pr1 Rh2'
_cell_length_a 4.987
_cell_length_b 4.987
_cell_length_c 3.579
_cell_angle_alpha 90.00
_cell_angle_beta 90.00
_cell_angle_gamma 90.00
_space_group_name_H-M_alt 'P 1'
_space_group_IT_number 1
loop_
_space_group_symop_operation_xyz
'x,y,z'
loop_
_atom_site_label
_atom_site_type_symbol
_atom_site_fract_x
_atom_site_fract_y
_atom_site_fract_z
_atom_site_occupancy
Pm1 Pm 0.000 0.000 0.000 1
Pr1 Pr 0.500 0.500 0.000 1
Rh1 Rh 0.000 0.500 0.500 1
Rh2 Rh 0.500 0.000 0.500 1
```


Version b
PmPrRh2: relaxed, PBE-GGA.

```
data_PmPrRh2
_chemical_formula_sum 'Pm1 Pr1 Rh2'
_cell_length_a 4.268
_cell_length_b 5.840
_cell_length_c 5.840
_cell_angle_alpha 39.43
_cell_angle_beta 90.00
_cell_angle_gamma 90.00
_space_group_name_H-M_alt 'P 1'
_space_group_IT_number 1
loop_
_space_group_symop_operation_xyz
'x,y,z'
loop_
_atom_site_label
_atom_site_type_symbol
_atom_site_fract_x
_atom_site_fract_y
_atom_site_fract_z
_atom_site_occupancy
Pm1 Pm 0.000 0.000 0.000 1
Pr1 Pr 0.500 0.282 0.282 1
Rh1 Rh 0.000 0.724 0.724 1
Rh2 Rh 0.500 0.555 0.555 1
```


Stability, highest: version b